Here is ZnCuIrPd after structural relaxation from Alexandria via LeMat-Bulk. Energies are from PBE.

Cell and atoms, written as POSCAR:
```
ZnCuIrPd
1.0
4.2817 0.0000 0.0000
2.1408 3.7080 0.0000
2.1408 1.2360 3.4960
Ir Zn Cu Pd
1 1 1 1
Direct
0.5000 0.5000 0.5000 Ir
0.7500 0.7500 0.7500 Zn
0.2500 0.2500 0.2500 Cu
0.0000 0.0000 0.0000 Pd
```

Here is ZrCuIrPd after structural relaxation from Alexandria via LeMat-Bulk. Energies are from PBE.

Cell and atoms, written as POSCAR:
```
ZrCuIrPd
1.0
3.7397 0.0000 0.0000
0.0000 3.9766 0.0000
0.0000 0.0000 4.2173
Pd Cu Ir Zr
1 1 1 1
Direct
0.0000 0.5000 0.5000 Pd
0.5000 0.0000 0.5000 Cu
0.0000 0.0000 0.0000 Ir
0.5000 0.5000 0.0000 Zr
```

Calculated values
The offset from the most stable computed form comes out at 0.0 kJ per mole of atoms.

Here is ZrCuIrPd after structural relaxation from Alexandria via LeMat-Bulk. Energies are from PBE.

Cell and atoms, written as POSCAR:
```
ZrCuIrPd
1.0
4.4920 0.0000 0.0000
2.2460 3.8902 0.0000
2.2460 1.2967 3.6677
Ir Zr Pd Cu
1 1 1 1
Direct
0.2500 0.2500 0.2500 Ir
0.5000 0.5000 0.5000 Zr
0.7500 0.7500 0.7500 Pd
0.0000 0.0000 0.0000 Cu
```

Calculated values
The offset from the most stable computed form comes out at 7.6 kJ per mole of atoms.

Here is Pm4Cu3Ir after structural relaxation from Alexandria via LeMat-Bulk. Energies are from PBE.

Cell and atoms, written as POSCAR:
```
Pm4Cu3Ir
1.0
3.9062 0.0000 0.0000
0.0000 4.4807 0.0000
0.0000 0.0000 10.6594
Cu Ir Pm
3 1 4
Direct
0.0000 0.0000 0.4321 Cu
0.0000 0.5000 0.5654 Cu
0.5000 0.0000 0.9265 Cu
0.5000 0.5000 0.0778 Ir
0.5000 0.0000 0.6402 Pm
0.0000 0.5000 0.8675 Pm
0.5000 0.5000 0.3527 Pm
0.0000 0.0000 0.1379 Pm
```

Here is Pm8CuIr5 after structural relaxation from Alexandria via LeMat-Bulk. Energies are from PBE.

Cell and atoms, written as POSCAR:
```
Pm8CuIr5
1.0
7.2401 0.0000 -2.5277
-3.5944 6.2675 -2.5704
-0.0514 0.0000 7.6685
Pm Ir Cu
8 5 1
Direct
0.5080 0.6293 0.2616 Pm
0.9963 0.1188 0.7493 Pm
0.1213 0.7536 0.4920 Pm
0.1225 0.7530 0.0037 Pm
0.2507 0.2470 0.3695 Pm
0.7384 0.2464 0.3677 Pm
0.6305 0.8812 0.8775 Pm
0.6323 0.3707 0.8787 Pm
0.7478 0.6224 0.6309 Ir
0.3691 0.1169 0.9915 Ir
0.8747 0.8831 0.2522 Ir
0.0085 0.3776 0.1253 Ir
0.5000 0.0000 0.5000 Ir
0.2500 0.5000 0.7500 Cu
```

Here is Pm3Cu3Ir after structural relaxation from Alexandria via LeMat-Bulk. Energies are from PBE.

Cell and atoms, written as POSCAR:
```
Pm3Cu3Ir
1.0
-2.6397 -3.0604 -2.2112
4.3172 1.8953 -2.9779
7.1256 -9.3226 4.3968
Pm Ir Cu
6 2 6
Direct
0.5221 0.0442 0.7500 Pm
0.4779 0.9558 0.2500 Pm
0.2344 0.4688 0.5992 Pm
0.2344 0.4688 0.9008 Pm
0.7656 0.5312 0.0992 Pm
0.7656 0.5312 0.4008 Pm
0.5000 0.0000 0.5000 Ir
0.5000 0.0000 0.0000 Ir
0.0570 0.1140 0.4117 Cu
0.8111 0.6222 0.7500 Cu
0.0570 0.1140 0.0883 Cu
0.9430 0.8860 0.9117 Cu
0.1889 0.3778 0.2500 Cu
0.9430 0.8860 0.5883 Cu
```

Here is PmCuIr after structural relaxation from Alexandria via LeMat-Bulk. Energies are from PBE.

Cell and atoms, written as POSCAR:
```
PmCuIr
1.0
3.4721 0.0000 0.0000
0.0000 3.4721 0.0000
-1.7361 -1.7361 4.7499
Cu Pm Ir
1 1 1
Direct
0.6469 0.6469 0.2939 Cu
0.9445 0.9445 0.8890 Pm
0.2586 0.2586 0.5172 Ir
```

Calculated values
The offset from the most stable computed form comes out at 29.9 kJ per mole of atoms.

Here is PmCu2Ir after structural relaxation from Alexandria via LeMat-Bulk. Energies are from PBE.

Cell and atoms, written as POSCAR:
```
PmCu2Ir
1.0
4.1558 0.0000 0.0000
0.0000 4.0554 0.0000
0.0000 0.0000 4.0554
Ir Cu Pm
1 2 1
Direct
0.5000 0.5000 0.5000 Ir
0.0000 0.0000 0.5000 Cu
0.0000 0.5000 0.0000 Cu
0.5000 0.0000 0.0000 Pm
```

Calculated values
The offset from the most stable computed form comes out at 7.8 kJ per mole of atoms.

Here is PmCu2Ir after structural relaxation from Alexandria via LeMat-Bulk. Energies are from PBE.

Cell and atoms, written as POSCAR:
```
PmCu2Ir
1.0
-1.7474 -3.7563 -1.9458
2.7825 -3.1034 -1.8912
0.5645 -4.0826 1.9910
Cu Pm Ir
2 1 1
Direct
0.2500 0.2500 0.2500 Cu
0.7500 0.7500 0.7500 Cu
0.0000 0.0000 0.0000 Pm
0.5000 0.5000 0.5000 Ir
```

Calculated values
The offset from the most stable computed form comes out at 8.4 kJ per mole of atoms.

Here is Pm3Cu2Ir after structural relaxation from Alexandria via LeMat-Bulk. Energies are from PBE.

Cell and atoms, written as POSCAR:
```
Pm3Cu2Ir
1.0
-1.2064 3.1361 2.6295
-3.3106 -7.7716 7.7500
10.8304 0.1560 4.7830
Pm Cu Ir
12 8 4
Direct
0.2500 0.7955 0.7267 Pm
0.2500 0.3767 0.0514 Pm
0.2500 0.0550 0.8828 Pm
0.7500 0.9450 0.1172 Pm
0.2500 0.4450 0.3828 Pm
0.7500 0.5550 0.6172 Pm
0.7500 0.2955 0.7733 Pm
0.7500 0.2045 0.2733 Pm
0.7500 0.6233 0.9486 Pm
0.2500 0.1233 0.5514 Pm
0.2500 0.7045 0.2267 Pm
0.7500 0.8767 0.4486 Pm
0.2500 0.6938 0.4879 Cu
0.7500 0.3062 0.5121 Cu
0.2500 0.8062 0.9879 Cu
0.7500 0.1938 0.0121 Cu
0.2500 0.4997 0.8039 Cu
0.2500 0.0003 0.3039 Cu
0.7500 0.9997 0.6961 Cu
0.7500 0.5003 0.1961 Cu
0.2500 0.1319 0.1220 Ir
0.2500 0.3681 0.6220 Ir
0.7500 0.8681 0.8780 Ir
0.7500 0.6319 0.3780 Ir
```

Calculated values
The offset from the most stable computed form comes out at 0.0 kJ per mole of atoms.

Here is Pm8CuIr2 after structural relaxation from Alexandria via LeMat-Bulk. Energies are from PBE.

Cell and atoms, written as POSCAR:
```
Pm8CuIr2
1.0
-1.3798 -0.2311 -6.1570
-0.3696 -7.3841 1.6812
-6.1242 3.6672 2.5560
Pm Ir Cu
8 2 1
Direct
0.9796 0.7810 0.2124 Pm
0.3575 0.9284 0.6559 Pm
0.9796 0.2124 0.7810 Pm
0.5984 0.0779 0.3450 Pm
0.7874 0.6473 0.6473 Pm
0.1857 0.3680 0.3680 Pm
0.3575 0.6559 0.9284 Pm
0.5984 0.3450 0.0779 Pm
0.4892 0.3204 0.6892 Ir
0.4892 0.6892 0.3204 Ir
0.1773 0.0086 0.0086 Cu
```

Calculated values
The offset from the most stable computed form comes out at 6.7 kJ per mole of atoms.

Here is Pm3CuIr after structural relaxation from Alexandria via LeMat-Bulk. Energies are from PBE.

Cell and atoms, written as POSCAR:
```
Pm3CuIr
1.0
-5.5094 2.8887 -1.3642
1.4339 -1.9596 -9.9408
-4.3107 -6.0475 4.6033
Pm Ir Cu
12 4 4
Direct
0.4999 0.1860 0.3043 Pm
0.0001 0.6860 0.3043 Pm
0.5001 0.8140 0.6957 Pm
0.5000 0.8011 0.1284 Pm
0.5002 0.5296 0.2798 Pm
0.0000 0.6989 0.8716 Pm
0.9999 0.3140 0.6957 Pm
0.0000 0.3011 0.1284 Pm
0.4998 0.4704 0.7202 Pm
0.5000 0.1989 0.8716 Pm
0.9998 0.0296 0.2798 Pm
0.0002 0.9704 0.7202 Pm
0.2393 0.5000 0.0000 Ir
0.7393 0.0000 0.0000 Ir
0.2607 0.0000 0.0000 Ir
0.7607 0.5000 0.0000 Ir
0.8151 0.4991 0.4997 Cu
0.1849 0.5009 0.5003 Cu
0.3151 0.0009 0.5003 Cu
0.6849 0.9991 0.4997 Cu
```

Calculated values
The offset from the most stable computed form comes out at 1.8 kJ per mole of atoms.

Here is Pm3Cu4Ir2 after structural relaxation from Alexandria via LeMat-Bulk. Energies are from PBE.

Cell and atoms, written as POSCAR:
```
Pm3Cu4Ir2
1.0
4.2724 0.0000 0.0000
-2.1362 5.1066 -1.5142
0.0000 -0.2716 8.3366
Pm Cu Ir
3 4 2
Direct
0.3217 0.6435 0.3485 Pm
0.0000 0.0000 0.0000 Pm
0.6783 0.3565 0.6515 Pm
0.7243 0.4487 0.0550 Cu
0.0376 0.0752 0.3781 Cu
0.9624 0.9248 0.6219 Cu
0.2757 0.5513 0.9450 Cu
0.3941 0.7881 0.7283 Ir
0.6059 0.2119 0.2717 Ir
```

Here is PmCuIr after structural relaxation from Alexandria via LeMat-Bulk. Energies are from PBE.

Cell and atoms, written as POSCAR:
```
PmCuIr
1.0
4.4301 0.0000 2.4874
1.5412 4.5198 2.4439
-0.0981 0.0375 5.3634
Cu Pm Ir
2 2 2
Direct
0.5000 0.0000 0.0000 Cu
0.0000 0.0000 0.0000 Cu
0.1261 0.6239 0.6239 Pm
0.8739 0.3761 0.3761 Pm
0.5000 0.5000 0.0000 Ir
0.5000 0.0000 0.5000 Ir
```

Calculated values
The offset from the most stable computed form comes out at 0.0 kJ per mole of atoms.

Here is PmCuIr2 after structural relaxation from Alexandria via LeMat-Bulk. Energies are from PBE.

Cell and atoms, written as POSCAR:
```
PmCuIr2
1.0
4.1606 0.0000 0.0000
0.0000 4.0652 0.0000
0.0000 0.0000 4.0652
Ir Pm Cu
2 1 1
Direct
0.0000 0.5000 0.0000 Ir
0.0000 0.0000 0.5000 Ir
0.5000 0.0000 0.0000 Pm
0.5000 0.5000 0.5000 Cu
```

Here is PmCu10Ir2 after structural relaxation from Alexandria via LeMat-Bulk. Energies are from PBE.

Cell and atoms, written as POSCAR:
```
PmCu10Ir2
1.0
-0.8520 1.9241 4.5630
0.8240 -4.3330 4.7477
5.5287 2.5699 2.7154
Cu Ir Pm
10 2 1
Direct
0.4912 0.7801 0.2375 Cu
0.7287 0.7801 0.7625 Cu
0.5000 0.0000 0.5000 Cu
0.6468 0.3517 0.3547 Cu
0.0015 0.3517 0.6453 Cu
0.5088 0.2199 0.7625 Cu
0.3532 0.6483 0.6453 Cu
0.9985 0.6483 0.3547 Cu
0.2713 0.2199 0.2375 Cu
0.0000 0.0000 0.5000 Cu
0.0000 0.5000 0.0000 Ir
0.5000 0.5000 0.0000 Ir
0.0000 0.0000 0.0000 Pm
```

Here is Pm12Cu6Ir after structural relaxation from Alexandria via LeMat-Bulk. Energies are from PBE.

Cell and atoms, written as POSCAR:
```
Pm12Cu6Ir
1.0
-2.2882 -6.4028 -4.8189
6.5876 2.4926 -4.4547
4.1145 -4.3430 5.8020
Pm Cu Ir
12 6 1
Direct
0.5664 0.1900 0.4155 Pm
0.9116 0.0397 0.6777 Pm
0.4155 0.5664 0.1900 Pm
0.4336 0.8100 0.5845 Pm
0.0884 0.9603 0.3223 Pm
0.9603 0.3223 0.0884 Pm
0.0397 0.6777 0.9116 Pm
0.5845 0.4336 0.8100 Pm
0.1900 0.4155 0.5664 Pm
0.3223 0.0884 0.9603 Pm
0.6777 0.9116 0.0397 Pm
0.8100 0.5845 0.4336 Pm
0.3752 0.6892 0.8717 Cu
0.8717 0.3752 0.6892 Cu
0.6248 0.3108 0.1283 Cu
0.3108 0.1283 0.6248 Cu
0.6892 0.8717 0.3752 Cu
0.1283 0.6248 0.3108 Cu
0.0000 0.0000 0.0000 Ir
```

Here is Pm3CuIr after structural relaxation from Alexandria via LeMat-Bulk. Energies are from PBE.

Cell and atoms, written as POSCAR:
```
Pm3CuIr
1.0
4.0582 0.0002 0.0006
-0.0004 6.7645 0.0046
-0.0014 -0.0032 9.4819
Pm Cu Ir
6 2 2
Direct
0.7500 0.2802 0.0605 Pm
0.7500 0.7667 0.2499 Pm
0.2500 0.7199 0.5603 Pm
0.2500 0.2333 0.7501 Pm
0.7500 0.2801 0.4397 Pm
0.2500 0.7198 0.9395 Pm
0.2500 0.0785 0.2500 Cu
0.7500 0.9215 0.7500 Cu
0.7500 0.5297 0.7499 Ir
0.2500 0.4703 0.2501 Ir
```

Calculated values
The offset from the most stable computed form comes out at 0.0 kJ per mole of atoms.

Here is PmCuIr after structural relaxation from Alexandria via LeMat-Bulk. Energies are from PBE.

Cell and atoms, written as POSCAR:
```
PmCuIr
1.0
3.8182 0.0000 0.0000
0.0000 4.2840 0.0000
0.0000 -2.1420 3.7101
Cu Ir Pm
1 1 1
Direct
0.1667 0.0000 0.0000 Cu
0.1667 0.3333 0.6667 Ir
0.6667 0.6667 0.3333 Pm
```

Calculated values
The offset from the most stable computed form comes out at 10.5 kJ per mole of atoms.

Here is PmCu2Ir after structural relaxation from Alexandria via LeMat-Bulk. Energies are from PBE.

Cell and atoms, written as POSCAR:
```
PmCu2Ir
1.0
-3.4397 1.8527 -1.8261
-3.6394 -2.2537 -0.5236
-3.7961 1.2348 3.3105
Cu Pm Ir
2 1 1
Direct
0.2048 0.2048 0.3856 Cu
0.7952 0.7952 0.6144 Cu
0.0000 0.0000 0.0000 Pm
0.5000 0.5000 0.5000 Ir
```

Calculated values
The offset from the most stable computed form comes out at 0.0 kJ per mole of atoms.

Here is Pm2CuIr3 after structural relaxation from Alexandria via LeMat-Bulk. Energies are from PBE.

Cell and atoms, written as POSCAR:
```
Pm2CuIr3
1.0
-0.1485 -4.9712 -2.3176
2.7512 0.7619 4.6858
-4.3121 2.1372 2.1828
Ir Pm Cu
3 2 1
Direct
0.5000 0.5000 0.5000 Ir
0.0000 0.0000 0.5000 Ir
0.5000 0.0000 0.5000 Ir
0.2507 0.6253 0.8761 Pm
0.7493 0.3747 0.1239 Pm
0.0000 0.0000 0.0000 Cu
```

Here is Pm3Cu2Ir7 after structural relaxation from Alexandria via LeMat-Bulk. Energies are from PBE.

Cell and atoms, written as POSCAR:
```
Pm3Cu2Ir7
1.0
0.5414 -1.8779 5.0130
2.3715 -4.7542 0.8504
8.5333 1.6759 2.5937
Pm Ir Cu
3 7 2
Direct
0.0000 0.0000 0.0000 Pm
0.1407 0.1407 0.5778 Pm
0.8593 0.8593 0.4222 Pm
0.5835 0.5835 0.7555 Ir
0.5000 0.5000 0.5000 Ir
0.5835 0.0774 0.7555 Ir
0.4165 0.4165 0.2445 Ir
0.4165 0.9226 0.2445 Ir
0.9226 0.4165 0.2445 Ir
0.0774 0.5835 0.7555 Ir
0.6659 0.6659 0.0024 Cu
0.3341 0.3341 0.9976 Cu
```

Here is Pm8CuIr2 after structural relaxation from Alexandria via LeMat-Bulk. Energies are from PBE.

Cell and atoms, written as POSCAR:
```
Pm8CuIr2
1.0
-0.2454 2.0723 4.5746
1.7908 -6.1260 2.8712
8.0489 2.8191 -3.6085
Pm Ir Cu
8 2 1
Direct
0.5904 0.4510 0.1808 Pm
0.7971 0.6718 0.5943 Pm
0.9624 0.2238 0.9248 Pm
0.3318 0.0337 0.6635 Pm
0.4096 0.5490 0.8192 Pm
0.0376 0.7762 0.0752 Pm
0.2029 0.3282 0.4057 Pm
0.6682 0.9663 0.3365 Pm
0.8010 0.2679 0.6019 Ir
0.1990 0.7321 0.3981 Ir
0.5000 0.0000 0.0000 Cu
```

Calculated values
The offset from the most stable computed form comes out at 0.0 kJ per mole of atoms.

Q: Which energy relative to the elements values were calculated for the entries above? A: -87, -569, -490, -351, -567, -301, -177, -130, -124, -348, -243, -358, -368, -487, -166, -57, -20, -376, -378, -211, -590, -539, -313, in meV per atom.